DFT (GGA+U) results for an optimized crystal structure of FeCo2SiO6.

```
10
Lattice="2.4435 1.4108 4.5205 -2.4435 1.4108 4.5205 0.0000 -2.8215 4.5205" Properties=species:S:1:pos:R:3 pbc="T T T"
Fe 0.0000 0.0000 0.0000
Co 0.0000 0.0000 2.6954
Co 0.0000 0.0000 9.7792
Si 0.0000 0.0000 6.9883
O -0.5957 -1.4105 6.0608
O -1.4524 0.0103 8.1179
O -0.9237 1.2212 6.0608
O 0.7173 -1.2630 8.1179
O 1.5194 0.1894 6.0608
O 0.7352 1.2527 8.1179
```

Properties
Total moment ... 0.80 μB/atom
Energy ... -6.6940 eV/atom